Entry 1:
A crystal of UGe2 relaxed with PBEsol. Source: Alexandria, functional meta-GGA SCAN.

abc: 7.098 7.098 4.164
angles: 90.00 90.00 146.98
Atoms (fractional coordinates):
U 0.149 0.851 0.000
U 0.851 0.149 0.000
Ge 0.000 0.000 0.500
Ge 0.322 0.678 0.500
Ge 0.500 0.500 0.000
Ge 0.678 0.322 0.500

Summary:
As for the density of states at the Fermi level: 9.3 states/eV/cell. The raw total energy comes out at -47.422 eV/atom. As for the density: 11.13 g cm⁻³. The volume is 19.06 Å³ per atom. For the calculated formation energy, the calculation gives -0.1882 eV per atom.



Entry 2:
A crystal of V5Ge3 relaxed with PBEsol. Source: Alexandria, functional meta-GGA SCAN.

abc: 7.167 7.167 4.872
angles: 90.00 90.00 120.00
Atoms (fractional coordinates):
V 0.000 0.242 0.250
V 0.000 0.758 0.750
V 0.242 0.000 0.250
V 0.242 0.242 0.750
V 0.333 0.667 0.000
V 0.333 0.667 0.500
V 0.667 0.333 0.000
V 0.667 0.333 0.500
V 0.758 0.000 0.750
V 0.758 0.758 0.250
Ge 0.000 0.393 0.750
Ge 0.000 0.607 0.250
Ge 0.393 0.000 0.750
Ge 0.393 0.393 0.250
Ge 0.607 0.000 0.250
Ge 0.607 0.607 0.750

Summary:
As for the density of states at the Fermi level: 9.4 states/eV/cell. The raw total energy comes out at -18.495 eV/atom. As for the density: 7.24 g cm⁻³. The volume is 13.55 Å³ per atom. For the calculated formation energy, the calculation gives -0.4069 eV per atom.



Entry 3:
A crystal of VGe2 relaxed with PBEsol. Source: Alexandria, functional meta-GGA SCAN.

abc: 4.741 4.741 6.545
angles: 90.00 90.00 120.00
Atoms (fractional coordinates):
V 0.000 0.500 0.167
V 0.500 0.000 0.500
V 0.500 0.500 0.833
Ge 0.166 0.333 0.500
Ge 0.166 0.834 0.833
Ge 0.333 0.166 0.167
Ge 0.667 0.834 0.167
Ge 0.834 0.166 0.833
Ge 0.834 0.667 0.500

Summary:
As for the density of states at the Fermi level: 5.7 states/eV/cell. The raw total energy comes out at -18.766 eV/atom. As for the density: 7.67 g cm⁻³. The volume is 14.16 Å³ per atom. For the calculated formation energy, the calculation gives -0.2119 eV per atom.



Entry 4:
A crystal of ZnGeW3 relaxed with PBEsol. Source: Alexandria, functional meta-GGA SCAN.

abc: 4.502 4.502 4.502
angles: 90.00 90.00 90.00
Atoms (fractional coordinates):
Zn 0.000 0.000 0.000
Ge 0.500 0.500 0.500
W 0.000 0.000 0.500
W 0.000 0.500 0.000
W 0.500 0.000 0.000

Summary:
As for the density of states at the Fermi level: 5.6 states/eV/cell. The raw total energy comes out at -46.154 eV/atom. As for the density: 12.55 g cm⁻³. The volume is 18.25 Å³ per atom. For the calculated formation energy, the calculation gives 2.1794 eV per atom.



Entry 5:
A crystal of Y3ZnGe relaxed with PBEsol. Source: Alexandria, functional meta-GGA SCAN.

abc: 5.219 5.219 5.219
angles: 90.00 90.00 90.00
Atoms (fractional coordinates):
Y 0.000 0.000 0.500
Y 0.000 0.500 0.000
Y 0.500 0.000 0.000
Zn 0.000 0.000 0.000
Ge 0.500 0.500 0.500

Summary:
As for the density of states at the Fermi level: 4.8 states/eV/cell. The raw total energy comes out at -23.218 eV/atom. As for the density: 4.73 g cm⁻³. The volume is 28.42 Å³ per atom. For the calculated formation energy, the calculation gives 0.0083 eV per atom.



Entry 6:
A crystal of Y2ZrGe2 relaxed with PBEsol. Source: Alexandria, functional meta-GGA SCAN.

abc: 7.340 7.340 4.087
angles: 90.00 90.00 90.00
Atoms (fractional coordinates):
Y 0.171 0.329 0.000
Y 0.329 0.829 0.000
Y 0.671 0.171 0.000
Y 0.829 0.671 0.000
Zr 0.000 0.000 0.500
Zr 0.500 0.500 0.500
Ge 0.133 0.633 0.500
Ge 0.367 0.133 0.500
Ge 0.633 0.867 0.500
Ge 0.867 0.367 0.500

Summary:
As for the density of states at the Fermi level: 8.3 states/eV/cell. The raw total energy comes out at -25.764 eV/atom. As for the density: 6.25 g cm⁻³. The volume is 22.02 Å³ per atom. For the calculated formation energy, the calculation gives -0.8524 eV per atom.



> Among the records above, which one has the highest calculated formation energy?

ZnGeW3